First-principles (PBE-GGA) data for a geometry-optimized CuIr2 structure, as listed in OQMD.

Values from the calculation:
As for the crystal system: cubic. For the polymorph energy (0 for the lowest one), the calculation gives 2913.1 meV per atom. Its energy is -21.6 eV for the cell shown.

Structure (POSCAR):
```
CuIr2
1.0
0.0000 5.2746 5.2746
5.2746 0.0000 5.2746
5.2746 5.2746 0.0000
Ir Cu
4 2
direct
0.6250 0.6250 0.1250 Ir
0.1250 0.6250 0.6250 Ir
0.6250 0.6250 0.6250 Ir
0.6250 0.1250 0.6250 Ir
0.7500 0.7500 0.7500 Cu
0.5000 0.5000 0.5000 Cu
```


First-principles (PBE-GGA) data for a geometry-optimized LuSc2O4 structure, as listed in OQMD.

Values from the calculation:
As for the crystal system: cubic. Its energy is -120.4 eV for the cell shown.

Structure (POSCAR):
```
LuSc2O4
1.0
-3.8963 4.6279 -1.9472
3.9179 0.9989 4.9033
2.3424 -0.5065 -5.8862
Sc O Lu
4 8 2
direct
0.3750 0.7500 0.6250 Sc
0.3750 0.7500 0.1250 Sc
0.8750 0.2500 0.6250 Sc
0.3750 0.2500 0.6250 Sc
0.5965 0.7310 0.8655 O
0.6155 0.7690 0.3846 O
0.1345 0.7310 0.8654 O
0.6155 0.2310 0.8465 O
0.1535 0.7690 0.3845 O
0.1346 0.2690 0.8655 O
0.6154 0.2310 0.3845 O
0.1345 0.2690 0.4035 O
0.0000 0.0000 0.0000 Lu
0.7500 0.5000 0.2500 Lu
```


First-principles (PBE-GGA) data for a geometry-optimized SmScCuSe3 structure, as listed in OQMD.

Values from the calculation:
As for the crystal system: orthorhombic. Its energy is -66.6 eV for the cell shown.

Structure (POSCAR):
```
SmScCuSe3
1.0
1.9483 -6.5677 0.0000
1.9483 6.5677 0.0000
0.0000 0.0000 10.0664
Se Cu Sm Sc
6 2 2 2
direct
0.4092 0.5908 0.7500 Se
0.1422 0.8578 0.9392 Se
0.1422 0.8578 0.5608 Se
0.5908 0.4092 0.2500 Se
0.8578 0.1422 0.0608 Se
0.8578 0.1422 0.4392 Se
0.9748 0.0252 0.2500 Cu
0.0252 0.9748 0.7500 Cu
0.2669 0.7331 0.2500 Sm
0.7331 0.2669 0.7500 Sm
0.5000 0.5000 0.0000 Sc
0.5000 0.5000 0.5000 Sc
```


First-principles (PBE-GGA) data for a geometry-optimized FePdAu2 structure, as listed in OQMD.

Values from the calculation:
As for the crystal system: cubic. Its energy is -19.8 eV for the cell shown.

Structure (POSCAR):
```
FePdAu2
1.0
0.0000 3.1914 3.1914
3.1914 0.0000 3.1914
3.1914 3.1914 0.0000
Pd Au Fe
1 2 1
direct
0.5000 0.5000 0.5000 Pd
0.7500 0.7500 0.7500 Au
0.0000 0.0000 0.0000 Au
0.2500 0.2500 0.2500 Fe
```